Record 1
ZrMn2Zn: relaxed, PBE.

For the density of states at the Fermi level, the calculation gives 0.993 states/eV per atom. The density is 6.443 g cm⁻³. For the energy of formation, the calculation gives 9.7 kcal/mol of atoms. Its raw total energy is -6.618 eV per atom.

The space group is I-42d (No. 122) and the conventional cell measures 7.075, 7.075 and 5.490 Å, with angles of 90.00, 90.00 and 90.00 degrees. Symmetry generates all atoms from Zr at (0.000, 0.000, 0.000), Mn at (0.225, 0.750, 0.625) and Zn at (0.000, 0.000, 0.500).

Record 2
ZrMnZn3: relaxed, PBE.

For the density of states at the Fermi level, the calculation gives 0.745 states/eV per atom. The density is 6.190 g cm⁻³. For the energy of formation, the calculation gives 10.8 kcal/mol of atoms. Its raw total energy is -3.838 eV per atom.

The space group is Pm-3m (No. 221) and the conventional cell measures 4.512, 4.512 and 4.512 Å, with angles of 90.00, 90.00 and 90.00 degrees. Symmetry generates all atoms from Zr at (0.000, 0.000, 0.000), Mn at (0.500, 0.500, 0.500) and Zn at (0.000, 0.500, 0.500).

Record 3
ZrMnZn: relaxed, PBE.

For the density of states at the Fermi level, the calculation gives 1.513 states/eV per atom. The density is 6.022 g cm⁻³. For the energy of formation, the calculation gives 8.4 kcal/mol of atoms. Its raw total energy is -5.966 eV per atom.

The space group is F-43m (No. 216) and the conventional cell measures 6.157, 6.157 and 6.157 Å, with angles of 90.00, 90.00 and 90.00 degrees. Symmetry generates all atoms from Zr at (0.000, 0.000, 0.000), Mn at (0.000, 0.000, 0.500) and Zn at (0.250, 0.250, 0.750).

Record 4
Zr3MnZn: relaxed, PBE.

For the density of states at the Fermi level, the calculation gives 2.405 states/eV per atom. The density is 5.597 g cm⁻³. For the energy of formation, the calculation gives 27.6 kcal/mol of atoms. Its raw total energy is -6.019 eV per atom.

The space group is Pm-3m (No. 221) and the conventional cell measures 4.889, 4.889 and 4.889 Å, with angles of 90.00, 90.00 and 90.00 degrees. Symmetry generates all atoms from Zr at (0.000, 0.000, 0.500), Mn at (0.500, 0.500, 0.500) and Zn at (0.000, 0.000, 0.000).

Record 5
Zr2MnZn: relaxed, PBE.

For the density of states at the Fermi level, the calculation gives 2.153 states/eV per atom. The density is 6.514 g cm⁻³. For the energy of formation, the calculation gives 16.2 kcal/mol of atoms. Its raw total energy is -6.184 eV per atom.

The space group is I-42d (No. 122) and the conventional cell measures 4.061, 4.061 and 18.720 Å, with angles of 90.00, 90.00 and 90.00 degrees. Symmetry generates all atoms from Zr at (0.240, 0.250, 0.125), Mn at (0.000, 0.000, 0.000) and Zn at (0.000, 0.000, 0.500).

Record 6
ZrMn2Zn: relaxed, PBE.

For the density of states at the Fermi level, the calculation gives 0.880 states/eV per atom. The density is 7.409 g cm⁻³. For the energy of formation, the calculation gives 0.3 kcal/mol of atoms. Its raw total energy is -7.027 eV per atom.

The space group is P4/mmm (No. 123) and the conventional cell measures 4.109, 4.109 and 3.538 Å, with angles of 90.00, 90.00 and 90.00 degrees. Symmetry generates all atoms from Zr at (0.000, 0.000, 0.000), Mn at (0.000, 0.500, 0.500) and Zn at (0.500, 0.500, 0.000).

Record 7
Zr5MnZn4: relaxed, PBE.

For the density of states at the Fermi level, the calculation gives 0.456 states/eV per atom. The density is 7.055 g cm⁻³. For the energy of formation, the calculation gives -5.5 kcal/mol of atoms. Its raw total energy is -5.941 eV per atom.

The space group is P4/mmm (No. 123) and the conventional cell measures 3.303, 3.303 and 16.670 Å, with angles of 90.00, 90.00 and 90.00 degrees. Symmetry generates all atoms from Zr at (0.000, 0.000, 0.000), Zr at (0.000, 0.000, 0.204), Zr at (0.000, 0.000, 0.409), Mn at (0.500, 0.500, 0.500), Zn at (0.500, 0.500, 0.102) and Zn at (0.500, 0.500, 0.305).

Record 8
ZrMnZn2: relaxed, PBE.

For the density of states at the Fermi level, the calculation gives 0.709 states/eV per atom. The density is 7.043 g cm⁻³. For the energy of formation, the calculation gives -2.2 kcal/mol of atoms. Its raw total energy is -5.163 eV per atom.

The space group is P4/mmm (No. 123) and the conventional cell measures 3.160, 3.160 and 6.540 Å, with angles of 90.00, 90.00 and 90.00 degrees. Symmetry generates all atoms from Zr at (0.000, 0.000, 0.000), Mn at (0.000, 0.000, 0.500) and Zn at (0.500, 0.500, 0.286).

Record 9
Zr2Mn: relaxed, PBE.

For the density of states at the Fermi level, the calculation gives 0.990 states/eV per atom. The density is 6.760 g cm⁻³. For the energy of formation, the calculation gives 5.1 kcal/mol of atoms. Its raw total energy is -8.535 eV per atom.

The space group is P-3m1 (No. 164) and the conventional cell measures 3.2355, 3.2355 and 6.4321 Å, with angles of 90.00, 90.00 and 120.00 degrees. Symmetry generates all atoms from Zr at (0.3333, 0.6667, 0.2924) and Mn at (0.0000, 0.0000, 0.0000).

Record 10
Zr2Mn: relaxed, PBE.

For the density of states at the Fermi level, the calculation gives 1.032 states/eV per atom. The density is 7.038 g cm⁻³. For the energy of formation, the calculation gives -0.2 kcal/mol of atoms. Its raw total energy is -8.765 eV per atom.

The space group is Cmcm (No. 63) and the conventional cell measures 3.251, 14.123 and 4.880 Å, with angles of 90.00, 90.00 and 90.00 degrees. Symmetry generates all atoms from Zr at (0.000, 0.073, 0.250), Zr at (0.000, 0.221, 0.750) and Mn at (0.000, 0.425, 0.250).

Record 11
ZrMn2: relaxed, PBE.

For the density of states at the Fermi level, the calculation gives 0.963 states/eV per atom. The density is 6.755 g cm⁻³. For the energy of formation, the calculation gives 4.0 kcal/mol of atoms. Its raw total energy is -8.790 eV per atom.

The space group is Cmcm (No. 63) and the conventional cell measures 3.407, 13.662 and 4.249 Å, with angles of 90.00, 90.00 and 90.00 degrees. Symmetry generates all atoms from Zr at (0.000, 0.095, 0.250), Mn at (0.000, 0.235, 0.750) and Mn at (0.000, 0.429, 0.250).

Record 12
Zr2Mn: relaxed, PBE.

For the density of states at the Fermi level, the calculation gives 1.171 states/eV per atom. The density is 6.840 g cm⁻³. For the energy of formation, the calculation gives 1.1 kcal/mol of atoms. Its raw total energy is -8.706 eV per atom.

The space group is Immm (No. 71) and the conventional cell measures 3.311, 6.110 and 11.394 Å, with angles of 90.00, 90.00 and 90.00 degrees. Symmetry generates all atoms from Zr at (0.000, 0.000, 0.212), Zr at (0.000, 0.255, 0.500) and Mn at (0.000, 0.500, 0.118).

Which value of energy of formation does entry 6 give?
0.3 kcal/mol of atoms

The lowest raw total energy belongs to which entry?
ZrMn2